NpP4 | GGA-PBE | optimized geometry

abc: 5.989 4.352 7.915
angles: 90.00 97.63 90.00
Atoms (fractional coordinates):
Np: 0.000 0.000 0.000
Np: 0.000 0.500 0.500
P: 0.274 0.190 0.757
P: 0.274 0.310 0.257
P: 0.401 0.641 0.086
P: 0.401 0.859 0.586
P: 0.599 0.141 0.414
P: 0.599 0.359 0.914
P: 0.726 0.690 0.743
P: 0.726 0.810 0.243

Summary:
energy above the most stable polymorph in this dataset	0.0	meV/atom
space-group type	No. 14

Np3P | GGA-PBE | optimized geometry

abc: 4.150 4.150 4.150
angles: 90.00 90.00 90.00
Atoms (fractional coordinates):
Np: 0.000 0.000 0.500
Np: 0.000 0.500 0.000
Np: 0.500 0.000 0.000
P: 0.500 0.500 0.500

Summary:
energy above the most stable polymorph in this dataset	0.0	meV/atom
space-group type	No. 221

NpP | GGA-PBE | optimized geometry

abc: 3.963 3.963 3.963
angles: 60.00 60.00 60.00
Atoms (fractional coordinates):
Np: 0.000 0.000 0.000
P: 0.500 0.500 0.500

Summary:
space-group type	No. 225

NpP | GGA-PBE | optimized geometry

abc: 3.981 3.562 5.211
angles: 90.00 103.99 90.00
Atoms (fractional coordinates):
Np: 0.144 0.250 0.157
Np: 0.856 0.750 0.843
P: 0.327 0.250 0.693
P: 0.673 0.750 0.307

Summary:
space-group type	No. 11

NpPa3P4 | GGA-PBE | optimized geometry

abc: 5.609 5.609 5.609
angles: 90.00 90.00 90.00
Atoms (fractional coordinates):
Np: 0.000 0.000 0.000
Pa: 0.000 0.500 0.500
Pa: 0.500 0.000 0.500
Pa: 0.500 0.500 0.000
P: 0.000 0.000 0.500
P: 0.000 0.500 0.000
P: 0.500 0.000 0.000
P: 0.500 0.500 0.500

Summary:
space-group type	No. 221

NpPa5P6 | GGA-PBE | optimized geometry

abc: 6.873 6.873 6.872
angles: 99.58 99.58 120.01
Atoms (fractional coordinates):
Np: 0.000 0.000 0.000
Pa: 0.167 0.833 0.500
Pa: 0.333 0.667 0.000
Pa: 0.500 0.500 0.500
Pa: 0.667 0.333 0.000
Pa: 0.833 0.167 0.500
P: 0.083 0.416 0.250
P: 0.250 0.250 0.750
P: 0.416 0.083 0.250
P: 0.584 0.917 0.750
P: 0.750 0.750 0.250
P: 0.917 0.584 0.750

Summary:
space-group type	No. 12

Np3PaP4 | GGA-PBE | optimized geometry

abc: 5.609 5.609 5.609
angles: 90.00 90.00 90.00
Atoms (fractional coordinates):
Np: 0.000 0.000 0.500
Np: 0.000 0.500 0.000
Np: 0.500 0.000 0.000
Pa: 0.500 0.500 0.500
P: 0.000 0.000 0.000
P: 0.000 0.500 0.500
P: 0.500 0.000 0.500
P: 0.500 0.500 0.000

Summary:
space-group type	No. 221

NpPa4P5 | GGA-PBE | optimized geometry

abc: 6.874 6.874 6.874
angles: 99.57 99.57 131.86
Atoms (fractional coordinates):
Np: 0.000 0.000 0.000
Pa: 0.200 0.600 0.800
Pa: 0.400 0.200 0.600
Pa: 0.600 0.800 0.400
Pa: 0.800 0.400 0.200
P: 0.100 0.300 0.400
P: 0.300 0.900 0.200
P: 0.500 0.500 0.000
P: 0.700 0.100 0.800
P: 0.900 0.700 0.600

Summary:
space-group type	No. 87

Np5PaP6 | GGA-PBE | optimized geometry

abc: 6.870 6.870 6.873
angles: 99.59 99.59 119.94
Atoms (fractional coordinates):
Np: 0.000 0.000 0.000
Np: 0.167 0.833 0.500
Np: 0.334 0.666 0.000
Np: 0.666 0.334 0.000
Np: 0.833 0.167 0.500
Pa: 0.500 0.500 0.500
P: 0.082 0.416 0.249
P: 0.249 0.249 0.750
P: 0.416 0.082 0.249
P: 0.584 0.918 0.751
P: 0.751 0.751 0.250
P: 0.918 0.584 0.751

Summary:
space-group type	No. 12

PmNpPa2P4 | GGA-PBE | optimized geometry

abc: 6.937 6.937 6.937
angles: 131.88 131.88 70.42
Atoms (fractional coordinates):
Pm: 0.000 0.000 0.000
Np: 0.250 0.750 0.500
Pa: 0.500 0.500 0.000
Pa: 0.750 0.250 0.500
P: 0.254 0.254 0.000
P: 0.501 0.001 0.500
P: 0.746 0.746 0.000
P: 0.999 0.499 0.500

Summary:
space-group type	No. 119

Pm2NpPaP4 | GGA-PBE | optimized geometry

abc: 6.982 4.040 7.040
angles: 90.00 109.43 90.00
Atoms (fractional coordinates):
Pm: 0.000 0.000 0.000
Pm: 0.500 0.500 0.000
Np: 0.000 0.500 0.500
Pa: 0.500 0.000 0.500
P: 0.246 0.000 0.736
P: 0.256 0.500 0.263
P: 0.744 0.500 0.737
P: 0.754 0.000 0.264

Summary:
space-group type	No. 10

Pr2NpPaP4 | GGA-PBE | optimized geometry

abc: 7.036 4.071 7.113
angles: 90.00 109.40 90.00
Atoms (fractional coordinates):
Pr: 0.000 0.000 0.000
Pr: 0.500 0.500 0.000
Np: 0.000 0.500 0.500
Pa: 0.500 0.000 0.500
P: 0.244 0.000 0.730
P: 0.258 0.500 0.269
P: 0.742 0.500 0.731
P: 0.756 0.000 0.270

Summary:
space-group type	No. 10

Pu3Np2PaP6 | GGA-PBE | optimized geometry

abc: 6.895 6.895 6.922
angles: 99.56 99.56 120.03
Atoms (fractional coordinates):
Pu: 0.000 0.000 0.000
Pu: 0.334 0.666 0.000
Pu: 0.666 0.334 0.000
Np: 0.167 0.833 0.500
Np: 0.833 0.167 0.500
Pa: 0.500 0.500 0.500
P: 0.084 0.417 0.252
P: 0.249 0.249 0.747
P: 0.417 0.084 0.252
P: 0.583 0.916 0.748
P: 0.751 0.751 0.253
P: 0.916 0.583 0.748

Summary:
space-group type	No. 12

no.,calculated formation energy (eV/atom)
1,-0.15
2,-0.21
3,-0.87
4,-0.63
5,-1.22
6,-1.26
7,-0.99
8,-1.24
9,-0.95
10,-1.26
11,-1.33
12,-1.30
13,-1.09